[1]
VASP calculation (GGA-PBEsol) on a relaxed structure of ZnCd3.

Unit cell a=2.9248 b=2.9248 c=10.4110 alpha=90.00 beta=90.00 gamma=120.00
Space group P-6m2 (No. 187)
Inequivalent atoms, fractional coordinates:
Zn 0.0000 0.0000 0.0000
Cd 0.0000 0.0000 0.5000
Cd 0.3333 0.6667 0.2323

Properties
- Volume: 77 Å³ per cell
- Energy of formation: 52 meV per atom
- Calculated density: 8.67 Mg/m³
- Spin magnetization: 0.00 Bohr magnetons per cell

***

[2]
VASP calculation (GGA-PBEsol) on a relaxed structure of TlSn2I.

Unit cell a=7.680 b=7.680 c=7.680 alpha=90.00 beta=90.00 gamma=90.00
Space group Fm-3m (No. 225)
Inequivalent atoms, fractional coordinates:
Tl 0.000 0.000 0.000
Sn 0.250 0.250 0.250
I 0.000 0.000 0.500

Properties
- Formation energy (no corrections): 128 meV per atom
- Volume: 453 Å³ per cell
- Calculated density: 8.34 Mg/m³
- Spin magnetization: 0.00 Bohr magnetons per cell

***

[3]
VASP calculation (GGA-PBEsol) on a relaxed structure of LiRe2Sb.

Unit cell a=3.786 b=3.786 c=8.557 alpha=90.00 beta=90.00 gamma=90.00
Space group I4/mmm (No. 139)
Inequivalent atoms, fractional coordinates:
Li 0.000 0.000 0.000
Re 0.000 0.500 0.250
Sb 0.000 0.000 0.500

Properties
- Formation energy (no corrections): 502 meV per atom
- Volume: 123 Å³ per cell
- Calculated density: 13.57 Mg/m³
- Spin magnetization: 0.00 Bohr magnetons per cell

***

[4]
VASP calculation (GGA-PBEsol) on a relaxed structure of CoMo2Ir.

Unit cell a=3.771 b=3.771 c=7.622 alpha=90.00 beta=90.00 gamma=90.00
Space group I4/mmm (No. 139)
Inequivalent atoms, fractional coordinates:
Co 0.000 0.000 0.000
Mo 0.000 0.500 0.250
Ir 0.000 0.000 0.500

Properties
- Volume: 108 Å³ per cell
- Energy of formation: -154 meV per atom
- Calculated density: 13.57 Mg/m³
- Spin magnetization: 0.00 Bohr magnetons per cell

***

[5]
VASP calculation (GGA-PBEsol) on a relaxed structure of Re2PtW.

Unit cell a=3.891 b=3.891 c=3.900 alpha=90.00 beta=90.00 gamma=90.00
Space group P4/mmm (No. 123)
Inequivalent atoms, fractional coordinates:
Re 0.000 0.500 0.000
Pt 0.000 0.000 0.500
W 0.500 0.500 0.500

Properties
- Volume: 59 Å³ per cell
- Energy of formation: -118 meV per atom
- Calculated density: 21.13 Mg/m³
- Spin magnetization: 0.00 Bohr magnetons per cell

***

[6]
VASP calculation (GGA-PBEsol) on a relaxed structure of Li2MoIr2.

Unit cell a=6.651 b=6.651 c=2.794 alpha=90.00 beta=90.00 gamma=90.00
Space group P4/mbm (No. 127)
Inequivalent atoms, fractional coordinates:
Li 0.104 0.396 0.000
Mo 0.000 0.000 0.000
Ir 0.196 0.696 0.500

Properties
- Volume: 124 Å³ per cell
- Energy of formation: 136 meV per atom
- Calculated density: 13.28 Mg/m³
- Spin magnetization: 0.00 Bohr magnetons per cell

***

[7]
VASP calculation (GGA-PBEsol) on a relaxed structure of LaPRu.

Unit cell a=3.997 b=3.997 c=7.721 alpha=90.00 beta=90.00 gamma=90.00
Space group P4/nmm (No. 129, origin choice 2)
Inequivalent atoms, fractional coordinates:
La 0.250 0.250 0.190
P 0.250 0.250 0.662
Ru 0.250 0.750 0.500

Properties
- Volume: 123 Å³ per cell
- Energy of formation: -1038 meV per atom
- Calculated density: 7.30 Mg/m³
- Spin magnetization: 0.00 Bohr magnetons per cell

***

[8]
VASP calculation (GGA-PBEsol) on a relaxed structure of Hf2TcBrCl.

Unit cell a=4.956 b=4.956 c=4.439 alpha=90.00 beta=90.00 gamma=90.00
Space group P4/mmm (No. 123)
Inequivalent atoms, fractional coordinates:
Hf 0.000 0.500 0.000
Tc 0.000 0.000 0.500
Br 0.000 0.000 0.000
Cl 0.500 0.500 0.500

Properties
- Formation energy (no corrections): 1081 meV per atom
- Volume: 109 Å³ per cell
- Calculated density: 8.68 Mg/m³
- Spin magnetization: 0.00 Bohr magnetons per cell